4
Lattice="-4.0705 2.8696 1.1439 -3.9667 -2.0632 2.4740 -0.9338 1.2896 4.8556" Properties=species:S:1:pos:R:3 comment="K2ReOs (PBEsol, relaxed)" de_polymorph_mev_per_atom=2016 sg="Fm-3m, No. 225" crystal_system=cubic ef_ev_per_fu=11.75 pbc="T T T"
K -2.2428 0.5240 2.1184
K -6.7283 1.5720 6.3551
Os 0.0000 0.0000 0.0000
Re -4.4855 1.0480 4.2368


4
Lattice="2.7135 0.0000 0.0000 0.0000 2.7135 0.0000 0.0000 0.0000 9.6303" Properties=species:S:1:pos:R:3 comment="KReOs2 (PBEsol, relaxed)" sg="P4mm, No. 99" crystal_system=tetragonal ef_ev_per_fu=3.68 pbc="T T T"
K 1.3567 1.3567 7.3085
Os 0.0000 0.0000 0.5335
Os 1.3567 1.3567 2.3177
Re 0.0000 0.0000 4.2857


3
Lattice="-1.0374 -0.2252 -2.4838 -3.5065 -0.8790 1.5442 0.7939 6.5733 0.5410" Properties=species:S:1:pos:R:3 comment="KReOs (PBEsol, relaxed)" sg="Imm2, No. 44" crystal_system=orthorhombic ef_ev_per_fu=2.89 pbc="T T T"
K -0.0041 0.0168 0.0002
Os -2.9048 2.0262 -0.4392
Re -0.8410 3.4260 0.0406


4
Lattice="-1.6373 1.4648 1.9462 -2.5565 -1.9377 -2.9053 -0.1114 -7.9697 5.9044" Properties=species:S:1:pos:R:3 comment="K2ReOs (PBEsol, relaxed)" de_polymorph_mev_per_atom=0 sg="Cm, No. 8" crystal_system=monoclinic ef_ev_per_fu=3.69 pbc="T T T"
K -0.0672 -0.7506 0.5084
K -1.6902 -5.8123 2.9526
Os -3.3509 -4.4874 0.5584
Re -2.6276 -2.5825 1.9461


4
Lattice="2.7142 0.0221 0.0000 -0.1726 4.7823 0.0000 -1.2708 -2.4022 5.8441" Properties=species:S:1:pos:R:3 comment="K2ReOs (PBEsol, relaxed)" de_polymorph_mev_per_atom=442 sg="C2/m, No. 12" crystal_system=monoclinic ef_ev_per_fu=5.46 pbc="T T T"
K -0.6354 -1.2011 2.9220
K 0.6354 1.2011 2.9220
Os 1.3571 0.0110 0.0000
Re -0.0863 2.3912 0.0000


4
Lattice="3.1086 0.0000 0.0000 0.0000 4.2652 0.0000 0.0000 0.0000 5.7670" Properties=species:S:1:pos:R:3 comment="K2ReOs (PBEsol, relaxed)" de_polymorph_mev_per_atom=430 sg="Pmmm, No. 47" crystal_system=orthorhombic ef_ev_per_fu=5.41 pbc="T T T"
K 0.0000 0.0000 0.0000
K 1.5543 2.1326 0.0000
Os 1.5543 0.0000 2.8835
Re 0.0000 2.1326 2.8835


4
Lattice="2.7590 0.0000 0.0000 0.0000 2.7590 0.0000 0.0000 0.0000 9.4624" Properties=species:S:1:pos:R:3 comment="KRe2Os (PBEsol, relaxed)" de_polymorph_mev_per_atom=0 sg="P4mm, No. 99" crystal_system=tetragonal ef_ev_per_fu=3.48 pbc="T T T"
K 0.0000 0.0000 4.8102
Os 1.3795 1.3795 7.6411
Re 0.0000 0.0000 9.3742
Re 1.3795 1.3795 1.8304


5
Lattice="4.4407 0.0000 0.0000 0.0000 4.4407 0.0000 0.0000 0.0000 4.7514" Properties=species:S:1:pos:R:3 comment="KRe2SiOs (PBEsol, relaxed)" raw_formation_energy_mev_per_atom=2309 sg="P4/mmm, No. 123" crystal_system=tetragonal pbc="T T T"
Re 0.0000 2.2204 0.0000
Re 2.2204 0.0000 0.0000
K 0.0000 0.0000 2.3757
Os 2.2204 2.2204 2.3757
Si 0.0000 0.0000 0.0000


4
Lattice="-2.2904 0.3847 -1.3488 2.1845 -0.6566 -1.4177 -2.2814 -9.8746 1.0576" Properties=species:S:1:pos:R:3 comment="KOs2Ru (PBEsol, relaxed)" de_polymorph_mev_per_atom=120 sg="Cmm2, No. 35" crystal_system=orthorhombic ef_ev_per_fu=4.14 pbc="T T T"
K -0.6277 -2.6236 -1.1168
Os -2.2096 -9.5638 1.0243
Os -1.7591 -7.5207 -0.5923
Ru -1.2130 -5.2502 0.5623


4
Lattice="-1.1537 4.0901 1.3042 -2.8165 0.2981 -3.4263 -0.3066 -3.4076 2.8393" Properties=species:S:1:pos:R:3 comment="KOs2Ru (PBEsol, relaxed)" de_polymorph_mev_per_atom=880 sg="Fm-3m, No. 225" crystal_system=cubic ef_ev_per_fu=7.18 pbc="T T T"
K 0.0000 0.0000 0.0000
Os -1.7227 1.4383 1.5413
Os -2.5541 -0.4577 -0.8240
Ru -1.9851 2.1941 -1.0610


4
Lattice="2.6720 0.0000 0.0137 0.0000 3.7714 0.0000 -0.0610 0.0000 7.7349" Properties=species:S:1:pos:R:3 comment="KOs2Ru (PBEsol, relaxed)" de_polymorph_mev_per_atom=0 sg="Pm, No. 6" crystal_system=monoclinic ef_ev_per_fu=3.66 pbc="T T T"
K 1.3165 1.8857 1.9433
Os -0.0508 0.0000 7.0317
Os 1.2917 1.8857 5.8416
Ru 2.6343 0.0000 4.5479


3
Lattice="-0.7006 2.5762 -0.1985 -1.8978 -0.7699 -3.2940 -3.7609 -2.0342 4.9260" Properties=species:S:1:pos:R:3 comment="KOsRu (PBEsol, relaxed)" sg="Imm2, No. 44" crystal_system=orthorhombic ef_ev_per_fu=2.55 pbc="T T T"
K -0.0053 -0.0012 0.0034
Os -3.4701 0.4179 -0.3821
Ru -2.8839 -0.6446 1.8123


no.,density of states at the Fermi level (states/eV/f.u.)
1,7.6
2,4.9
3,2.9
4,3.3
5,2.9
6,2.2
7,4.3
8,7.4
9,5.8
10,5.5
11,3.9
12,2.4